No. 1
Here is KFeAs after structural relaxation from the Alexandria database. Energies are from GGA-PBE.

## Properties
- N(E_F): 3.31 states/eV/cell
- Energy: -4.81 eV/atom
- Formation energy from the elements: -1.6 kcal/mol of atoms

```
data_KFeAs
_symmetry_space_group_name_H-M 'P -1'
_symmetry_Int_Tables_number 2
_cell_length_a 3.9257
_cell_length_b 3.9281
_cell_length_c 11.6897
_cell_angle_alpha 80.69
_cell_angle_beta 80.79
_cell_angle_gamma 60.10
loop_
_symmetry_equiv_pos_as_xyz
'x,y,z'
'-x,-y,-z'
loop_
_atom_site_label
_atom_site_fract_x
_atom_site_fract_y
_atom_site_fract_z
K1 0.2336 0.2315 0.3189
Fe1 0.3410 0.3411 0.9755
As1 0.0373 0.0375 0.8812
```


No. 2
Here is KFe3As after structural relaxation from the Alexandria database. Energies are from GGA-PBE.

## Properties
- N(E_F): 7.05 states/eV/cell
- Distance to the lowest polymorph of the same formula: 0.000 eV/f.u.
- Energy: -5.46 eV/atom
- Formation energy from the elements: 17.7 kcal/mol of atoms

```
data_KFe3As
_symmetry_space_group_name_H-M 'P m -3 m'
_symmetry_Int_Tables_number 221
_symmetry_space_group_name_Hall '-P 4 2 3'
_cell_length_a 4.6684
_cell_length_b 4.6684
_cell_length_c 4.6684
_cell_angle_alpha 90.00
_cell_angle_beta 90.00
_cell_angle_gamma 90.00
loop_
_atom_site_label
_atom_site_fract_x
_atom_site_fract_y
_atom_site_fract_z
K1 0.0000 0.0000 0.0000
Fe1 0.0000 0.5000 0.5000
As1 0.5000 0.5000 0.5000
```


No. 3
Here is K2FeAs2 after structural relaxation from the Alexandria database. Energies are from GGA-PBE.

## Properties
- N(E_F): 9.42 states/eV/cell
- Energy: -3.38 eV/atom
- Formation energy from the elements: 14.1 kcal/mol of atoms

```
data_K2FeAs2
_symmetry_space_group_name_H-M 'I 4/m m m'
_symmetry_Int_Tables_number 139
_symmetry_space_group_name_Hall '-I 4 2'
_cell_length_a 4.3197
_cell_length_b 4.3197
_cell_length_c 13.9488
_cell_angle_alpha 90.00
_cell_angle_beta 90.00
_cell_angle_gamma 90.00
loop_
_atom_site_label
_atom_site_fract_x
_atom_site_fract_y
_atom_site_fract_z
K1 0.0000 0.5000 0.2500
Fe1 0.0000 0.0000 0.0000
As1 0.0000 0.0000 0.4169
```


No. 4
Here is KFeAs after structural relaxation from the Alexandria database. Energies are from GGA-PBE.

## Properties
- N(E_F): 4.07 states/eV/cell
- Energy: -4.87 eV/atom
- Formation energy from the elements: -3.1 kcal/mol of atoms

```
data_KFeAs
_symmetry_space_group_name_H-M 'P 1'
_symmetry_Int_Tables_number 1
_cell_length_a 3.9450
_cell_length_b 3.9460
_cell_length_c 11.7563
_cell_angle_alpha 85.22
_cell_angle_beta 85.14
_cell_angle_gamma 60.09
loop_
_symmetry_equiv_pos_as_xyz
'x,y,z'
loop_
_atom_site_label
_atom_site_fract_x
_atom_site_fract_y
_atom_site_fract_z
K1 0.0000 0.0000 0.0000
K2 0.4437 0.4374 0.3579
Fe1 0.3842 0.3809 0.7019
Fe2 0.7336 0.7299 0.6082
As1 0.0745 0.0705 0.5653
As2 0.7002 0.6981 0.8031
```


No. 5
Here is K2NbFeAs after structural relaxation from the Alexandria database. Energies are from GGA-PBE.

## Properties
- N(E_F): 10.33 states/eV/cell
- Energy: -3.81 eV/atom
- Formation energy from the elements: 29.1 kcal/mol of atoms

```
data_K2NbFeAs
_symmetry_space_group_name_H-M 'P 4/m m m'
_symmetry_Int_Tables_number 123
_symmetry_space_group_name_Hall '-P 4 2'
_cell_length_a 6.2770
_cell_length_b 6.2770
_cell_length_c 4.3778
_cell_angle_alpha 90.00
_cell_angle_beta 90.00
_cell_angle_gamma 90.00
loop_
_atom_site_label
_atom_site_fract_x
_atom_site_fract_y
_atom_site_fract_z
K1 0.0000 0.5000 0.0000
Nb1 0.0000 0.0000 0.5000
Fe1 0.5000 0.5000 0.5000
As1 0.5000 0.5000 0.0000
```